(1)
Ti2Si2Se: optimized geometry, PBEsol.

Summary:
The calculation puts the density of states at the Fermi level at 0.886 states/eV/atom. The uncorrected formation energy is -594.9 meV per atom. As for the symmetry: P4/mbm. The value obtained for the calculated total energy is -69.92 eV/cell.

abc: 3.492 6.757 6.757
angles: 90.00 90.00 90.00
Element x y z (fractional)
Si  0.500  0.122  0.622
Si  0.500  0.622  0.878
Si  0.500  0.878  0.378
Si  0.500  0.378  0.122
Se  0.000  0.000  0.000
Se  0.000  0.500  0.500
Ti  0.000  0.326  0.826
Ti  0.000  0.826  0.674
Ti  0.000  0.674  0.174
Ti  0.000  0.174  0.326

***

(2)
TcRu3Pt: optimized geometry, PBEsol.

Summary:
The calculation puts the density of states at the Fermi level at 2.031 states/eV/atom. As for the symmetry: Pm-3m. The formation energy is 2513 meV per atom. The value obtained for the calculated total energy is -36.18 eV/cell.

abc: 4.597 4.597 4.597
angles: 90.00 90.00 90.00
Element x y z (fractional)
Ru  0.000  0.500  0.000
Ru  0.000  0.000  0.500
Ru  0.500  0.000  0.000
Tc  0.500  0.500  0.500
Pt  0.000  0.000  0.000

***

(3)
Tl2WBr: optimized geometry, PBEsol.

Summary:
The calculation puts the density of states at the Fermi level at 0.833 states/eV/atom. The uncorrected formation energy is 580.3 meV per atom. As for the symmetry: Cm. The value obtained for the calculated total energy is -18.62 eV/cell. For the energy above the most stable polymorph in this dataset, the calculation gives 0 meV per atom.

abc: 3.055 5.623 6.414
angles: 114.15 90.00 105.76
Element x y z (fractional)
Tl  0.035  0.070  0.022
Tl  0.183  0.365  0.615
Br  0.841  0.681  0.260
W  0.442  0.883  0.603

***

(4)
SnTeSe2: optimized geometry, PBEsol.

Summary:
The calculation puts the density of states at the Fermi level at 0.688 states/eV/atom. The uncorrected formation energy is -77.9 meV per atom. As for the symmetry: R-3m. The value obtained for the calculated total energy is -15.80 eV/cell.

abc: 3.875 3.875 9.083
angles: 77.69 77.69 60.00
Element x y z (fractional)
Te  0.000  0.000  0.000
Sn  0.500  0.500  0.500
Se  0.898  0.898  0.307
Se  0.102  0.102  0.693

***

(5)
SnIO2: optimized geometry, PBEsol.

Summary:
The calculation puts the density of states at the Fermi level at 0.127 states/eV/atom. The uncorrected formation energy is -706.2 meV per atom. As for the symmetry: I-42d. The value obtained for the calculated total energy is -38.70 eV/cell. For the energy above the most stable polymorph in this dataset, the calculation gives 0 meV per atom.

abc: 6.124 6.124 6.124
angles: 88.62 60.79 119.21
Element x y z (fractional)
I  0.000  0.000  0.000
I  0.500  0.250  0.250
Sn  0.000  0.500  0.500
Sn  0.500  0.750  0.750
O  0.830  0.125  0.545
O  0.170  0.625  0.705
O  0.670  0.545  0.625
O  0.330  0.705  0.125

***

(6)
GaTeF2: optimized geometry, PBEsol.

Summary:
The calculation puts the density of states at the Fermi level at 0.548 states/eV/atom. The uncorrected formation energy is -1276.2 meV per atom. As for the symmetry: R-3m. The value obtained for the calculated total energy is -15.83 eV/cell. For the energy above the most stable polymorph in this dataset, the calculation gives 0 meV per atom.

abc: 3.222 3.222 9.671
angles: 80.41 80.41 60.00
Element x y z (fractional)
Te  0.000  0.000  0.000
Ga  0.500  0.500  0.500
F  0.869  0.869  0.392
F  0.131  0.131  0.608

***

(7)
Na2ZnPtS: optimized geometry, PBEsol.

Summary:
The calculation puts the density of states at the Fermi level at 0.251 states/eV/atom. The uncorrected formation energy is -137.8 meV per atom. As for the symmetry: P4/mmm. The value obtained for the calculated total energy is -16.42 eV/cell.

abc: 4.387 5.273 5.273
angles: 90.00 90.00 90.00
Element x y z (fractional)
Na  0.000  0.000  0.500
Na  0.000  0.500  0.000
Zn  0.500  0.500  0.500
S  0.000  0.000  0.000
Pt  0.500  0.000  0.000

***

(8)
B3IrF: optimized geometry, PBEsol.

Summary:
The calculation puts the density of states at the Fermi level at 0.484 states/eV/atom. The uncorrected formation energy is 497.6 meV per atom. As for the symmetry: Pm-3m. The value obtained for the calculated total energy is -30.31 eV/cell.

abc: 4.040 4.040 4.040
angles: 90.00 90.00 90.00
Element x y z (fractional)
B  0.000  0.500  0.000
B  0.000  0.000  0.500
B  0.500  0.000  0.000
Ir  0.000  0.000  0.000
F  0.500  0.500  0.500

***

(9)
KSrCo: optimized geometry, PBEsol.

Summary:
The calculation puts the density of states at the Fermi level at 2.703 states/eV/atom. As for the symmetry: F-43m. The formation energy is 1356 meV per atom. The value obtained for the calculated total energy is -6.64 eV/cell.

abc: 5.202 5.202 5.202
angles: 60.00 60.00 60.00
Element x y z (fractional)
Co  0.500  0.500  0.500
K  0.250  0.250  0.250
Sr  0.000  0.000  0.000

***

(10)
Ba2Na2Zn: optimized geometry, PBEsol.

Summary:
The calculation puts the density of states at the Fermi level at 0.736 states/eV/atom. As for the symmetry: I4/mmm. The formation energy is 34 meV per atom. The value obtained for the calculated total energy is -8.51 eV/cell.

abc: 4.258 4.258 11.125
angles: 101.03 101.03 90.00
Element x y z (fractional)
Na  0.250  0.750  0.500
Na  0.750  0.250  0.500
Zn  0.000  0.000  0.000
Ba  0.413  0.413  0.827
Ba  0.587  0.587  0.173

***

(11)
LaGa2: optimized geometry, PBEsol.

Summary:
The calculation puts the density of states at the Fermi level at 0.625 states/eV/atom. As for the symmetry: P6/mmm. The formation energy is -730 meV per atom. The value obtained for the calculated total energy is -14.22 eV/cell.

abc: 4.269 4.269 4.377
angles: 90.00 90.00 120.00
Element x y z (fractional)
Ga  0.333  0.667  0.500
Ga  0.667  0.333  0.500
La  0.000  0.000  0.000

***

(12)
BeZn2As: optimized geometry, PBEsol.

Summary:
The calculation puts the density of states at the Fermi level at 0.313 states/eV/atom. As for the symmetry: I-4m2. The formation energy is 298 meV per atom. The value obtained for the calculated total energy is -11.08 eV/cell. For the energy above the most stable polymorph in this dataset, the calculation gives 84 meV per atom.

abc: 3.779 3.779 4.817
angles: 113.10 113.10 90.00
Element x y z (fractional)
Be  0.250  0.750  0.500
As  0.500  0.500  0.000
Zn  0.000  0.000  0.000
Zn  0.750  0.250  0.500

***

Calculated values (Å³ per atom) of calculated volume for the records, taken in order: 15.94, 19.42, 23.99, 28.61, 20.54, 21.33, 24.40, 13.19, 33.18, 38.83, 23.03, 14.31.